An optimized crystal structure of Ni2GeOsF. Source: Alexandria via LeMat-Bulk, functional PBEsol. Values from VASP.

Formation energy (no corrections), meV per atom: 459
Mass density, g cm⁻³: 10.74
Final energy, eV per atom: -5.820

The structure in Quantum ESPRESSO input format:
```
&SYSTEM
  ibrav = 0, nat = 5, ntyp = 4
/
ATOMIC_SPECIES
Os 190.23 Os.upf
Ni 58.69 Ni.upf
Ge 72.64 Ge.upf
F 19.00 F.upf
CELL_PARAMETERS angstrom
3.750 0.000 0.000
0.000 3.750 0.000
0.000 0.000 4.389
ATOMIC_POSITIONS crystal
Os 0.500 0.500 0.500
Ni 0.500 0.000 0.000
Ni 0.000 0.500 0.000
Ge 0.000 0.000 0.500
F 0.000 0.000 0.000
```